YB4Ir2Ru | PBE | relaxed

V ... 11.99 Å³/atom
Magnetic moment ... 0.00 μB per atom
Energy ... -185.8 eV for the cell shown

Structure (CIF):
```
data_YB4Ir2Ru
_chemical_formula_sum 'Y3 B12 Ir6 Ru3'
_cell_length_a 3.6782
_cell_length_b 3.6782
_cell_length_c 24.5646
_cell_angle_alpha 90.00
_cell_angle_beta 90.00
_cell_angle_gamma 120.00
_space_group_name_H-M_alt 'R -3 m'
_space_group_IT_number 166
_space_group_name_Hall '-R 3 2"'
loop_
_atom_site_label
_atom_site_fract_x
_atom_site_fract_y
_atom_site_fract_z
Y1 0.0000 0.0000 0.0000
B1 0.0000 0.0000 0.1248
B2 0.0000 0.0000 0.4060
Ir1 0.0000 0.0000 0.2408
Ru1 0.0000 0.0000 0.5000
```

=====

Zn2BIrRu | PBE | relaxed

V ... 21.04 Å³/atom
Magnetic moment ... 0.00 μB per atom
Energy ... -18.8 eV for the cell shown

Structure (CIF):
```
data_Zn2BIrRu
_chemical_formula_sum 'Zn2 B1 Ir1 Ru1'
_cell_length_a 4.7594
_cell_length_b 4.7594
_cell_length_c 4.6432
_cell_angle_alpha 90.00
_cell_angle_beta 90.00
_cell_angle_gamma 90.00
_space_group_name_H-M_alt 'P 4/m m m'
_space_group_IT_number 123
_space_group_name_Hall '-P 4 2'
loop_
_atom_site_label
_atom_site_fract_x
_atom_site_fract_y
_atom_site_fract_z
Zn1 0.0000 0.5000 0.0000
B1 0.0000 0.0000 0.5000
Ir1 0.5000 0.5000 0.5000
Ru1 0.5000 0.5000 0.0000
```